1.
AcEuP2: relaxed, PBE.

Properties
Energy in eV for the cell shown: -29.11
Space-group type: P4/mmm
ΔE_f in eV/f.u.: -3.90

Cell and atoms, written as CIF:
```
data_AcEuP2
_cell_length_a 3.667
_cell_length_b 5.258
_cell_length_c 5.258
_cell_angle_alpha 90.00
_cell_angle_beta 90.00
_cell_angle_gamma 90.00
_symmetry_space_group_name_H-M 'P 1'
_symmetry_Int_Tables_number 1
loop_
_symmetry_equiv_pos_as_xyz
'x,y,z'
loop_
_atom_site_label
_atom_site_fract_x
_atom_site_fract_y
_atom_site_fract_z
Eu1 0.500 0.000 0.000
P1 0.000 0.000 0.500
P2 0.000 0.500 0.000
Ac1 0.500 0.500 0.500
```

---

2.
AcEuP2: relaxed, PBE.

Properties
Energy in eV for the cell shown: -29.18
Space-group type: Fm-3m
ΔE_f in eV/f.u.: -3.98

Cell and atoms, written as CIF:
```
data_AcEuP2
_cell_length_a 5.222
_cell_length_b 5.222
_cell_length_c 5.222
_cell_angle_alpha 60.00
_cell_angle_beta 60.00
_cell_angle_gamma 60.00
_symmetry_space_group_name_H-M 'P 1'
_symmetry_Int_Tables_number 1
loop_
_symmetry_equiv_pos_as_xyz
'x,y,z'
loop_
_atom_site_label
_atom_site_fract_x
_atom_site_fract_y
_atom_site_fract_z
Eu1 0.500 0.500 0.500
P1 0.250 0.250 0.250
P2 0.750 0.750 0.750
Ac1 0.000 0.000 0.000
```

---

3.
AcEuPPd: relaxed, PBE.

Properties
Energy in eV for the cell shown: -28.52
Space-group type: F-43m
ΔE_f in eV/f.u.: -3.53

Cell and atoms, written as CIF:
```
data_AcEuPPd
_cell_length_a 5.244
_cell_length_b 5.244
_cell_length_c 5.244
_cell_angle_alpha 60.00
_cell_angle_beta 60.00
_cell_angle_gamma 60.00
_symmetry_space_group_name_H-M 'P 1'
_symmetry_Int_Tables_number 1
loop_
_symmetry_equiv_pos_as_xyz
'x,y,z'
loop_
_atom_site_label
_atom_site_fract_x
_atom_site_fract_y
_atom_site_fract_z
Eu1 0.000 0.000 0.000
P1 0.250 0.250 0.250
Ac1 0.500 0.500 0.500
Pd1 0.750 0.750 0.750
```

---

4.
AcEuPPt: relaxed, PBE.

Properties
Energy in eV for the cell shown: -29.93
Space-group type: F-43m
ΔE_f in eV/f.u.: -4.10

Cell and atoms, written as CIF:
```
data_AcEuPPt
_cell_length_a 5.235
_cell_length_b 5.235
_cell_length_c 5.235
_cell_angle_alpha 60.00
_cell_angle_beta 60.00
_cell_angle_gamma 60.00
_symmetry_space_group_name_H-M 'P 1'
_symmetry_Int_Tables_number 1
loop_
_symmetry_equiv_pos_as_xyz
'x,y,z'
loop_
_atom_site_label
_atom_site_fract_x
_atom_site_fract_y
_atom_site_fract_z
Eu1 0.000 0.000 0.000
P1 0.250 0.250 0.250
Ac1 0.500 0.500 0.500
Pt1 0.750 0.750 0.750
```

---

5.
AcEuPRh: relaxed, PBE.

Properties
Energy in eV for the cell shown: -29.82
Space-group type: F-43m
ΔE_f in eV/f.u.: -2.68

Cell and atoms, written as CIF:
```
data_AcEuPRh
_cell_length_a 5.172
_cell_length_b 5.172
_cell_length_c 5.172
_cell_angle_alpha 60.00
_cell_angle_beta 60.00
_cell_angle_gamma 60.00
_symmetry_space_group_name_H-M 'P 1'
_symmetry_Int_Tables_number 1
loop_
_symmetry_equiv_pos_as_xyz
'x,y,z'
loop_
_atom_site_label
_atom_site_fract_x
_atom_site_fract_y
_atom_site_fract_z
Eu1 0.750 0.750 0.750
P1 0.000 0.000 0.000
Ac1 0.250 0.250 0.250
Rh1 0.500 0.500 0.500
```

---

6.
Ac2EuPa: relaxed, PBE.

Properties
Energy in eV for the cell shown: -25.92
Space-group type: R-3m
ΔE_f in eV/f.u.: 2.06

Cell and atoms, written as CIF:
```
data_Ac2EuPa
_cell_length_a 6.023
_cell_length_b 6.023
_cell_length_c 6.006
_cell_angle_alpha 59.90
_cell_angle_beta 59.90
_cell_angle_gamma 60.00
_symmetry_space_group_name_H-M 'P 1'
_symmetry_Int_Tables_number 1
loop_
_symmetry_equiv_pos_as_xyz
'x,y,z'
loop_
_atom_site_label
_atom_site_fract_x
_atom_site_fract_y
_atom_site_fract_z
Eu1 0.500 0.500 0.500
Ac1 0.751 0.751 0.746
Ac2 0.249 0.249 0.254
Pa1 0.000 0.000 0.000
```